(1)
Here is a relaxed structure of InTeWI2 from Alexandria via LeMat-Bulk. Energies are from PBE-GGA.

a = 5.7767 Å, b = 5.7767 Å, c = 5.3401 Å
α = 90.00°, β = 90.00°, γ = 90.00°
Positions (direct):
In1 0.0000 0.0000 0.0000
Te1 0.5000 0.5000 0.0000
W1 0.5000 0.5000 0.5000
I1 0.0000 0.5000 0.5000
I2 0.5000 0.0000 0.5000

Values from the calculation:
The calculation puts the uncorrected formation energy at 0.393 eV/atom.

(2)
Here is a relaxed structure of SmZrPd2 from Alexandria via LeMat-Bulk. Energies are from PBE-GGA.

a = 5.0112 Å, b = 5.0112 Å, c = 3.2991 Å
α = 90.00°, β = 90.00°, γ = 90.00°
Positions (direct):
Sm1 0.0000 0.0000 0.0000
Zr1 0.5000 0.5000 0.0000
Pd1 0.0000 0.5000 0.5000
Pd2 0.5000 0.0000 0.5000

Values from the calculation:
The value obtained for the formation energy is -629 meV/atom.

(3)
Here is a relaxed structure of KGa9Cu2 from Alexandria via LeMat-Bulk. Energies are from PBE-GGA.

a = 8.5964 Å, b = 8.5964 Å, c = 8.5964 Å
α = 101.00°, β = 101.00°, γ = 128.20°
Positions (direct):
K1 0.3750 0.6250 0.7500
K2 0.6250 0.3750 0.2500
Ga1 0.1250 0.8750 0.2500
Ga2 0.1308 0.5599 0.3252
Ga3 0.1308 0.8056 0.5709
Ga4 0.1944 0.2653 0.3252
Ga5 0.1944 0.8692 0.9291
Ga6 0.2653 0.1944 0.8252
Ga7 0.2653 0.4401 0.0709
Ga8 0.4401 0.2653 0.5709
Ga9 0.4401 0.8692 0.1748
Ga10 0.5599 0.1308 0.8252
Ga11 0.5599 0.7347 0.4291
Ga12 0.7347 0.5599 0.9291
Ga13 0.7347 0.8056 0.1748
Ga14 0.8056 0.1308 0.0709
Ga15 0.8056 0.7347 0.6748
Ga16 0.8692 0.1944 0.4291
Ga17 0.8692 0.4401 0.6748
Ga18 0.8750 0.1250 0.7500
Cu1 0.0000 0.0000 0.0000
Cu2 0.0000 0.0000 0.5000
Cu3 0.0000 0.5000 0.0000
Cu4 0.5000 0.0000 0.5000

Values from the calculation:
The value obtained for the formation energy is -60 meV/atom.

(4)
Here is a relaxed structure of Tb2NpOs2 from Alexandria via LeMat-Bulk. Energies are from PBE-GGA.

a = 5.7467 Å, b = 5.7467 Å, c = 7.9708 Å
α = 100.00°, β = 100.00°, γ = 60.63°
Positions (direct):
Tb1 0.0143 0.2863 0.1509
Tb2 0.2863 0.0143 0.6509
Tb3 0.7137 0.9857 0.3491
Tb4 0.9857 0.7137 0.8491
Np1 0.3629 0.6371 0.2500
Np2 0.6371 0.3629 0.7500
Os1 0.2307 0.5036 0.4929
Os2 0.4964 0.7693 0.0071
Os3 0.5036 0.2307 0.9929
Os4 0.7693 0.4964 0.5071

Values from the calculation:
The value obtained for the formation energy is -168 meV/atom.

no.,DOS(E_F) (states/eV per cell),theoretical density (g/cm3),final energy (eV per atom)
1,2.2,6.34,-3.99
2,3.1,9.11,-6.54
3,7.5,5.87,-3.10
4,12.4,13.82,-9.10